Record 1
VASP calculation (PBE-GGA) on LiZnNi2H after structural relaxation.

```
LiZnNi2H
1.0
-0.176 -1.079 -3.446
3.444 -1.089 0.165
-1.111 -3.347 1.105
Ni H Zn Li
2 1 1 1
direct
0.500 0.000 0.000 Ni
0.000 0.500 0.000 Ni
0.000 0.000 0.000 H
0.500 0.500 0.500 Zn
0.000 0.000 0.500 Li
```

Summary:
The symmetry is P4/mmm. The calculation puts the energy above the lowest structure with this stoichiometry at 0 meV per atom.

Record 2
VASP calculation (PBE-GGA) on LiZnNi2H4 after structural relaxation.

```
LiZnNi2H4
1.0
-1.002 1.908 2.045
0.401 -2.052 2.111
6.517 2.325 1.023
H Li Zn Ni
4 1 1 2
direct
0.500 0.000 0.808 H
0.500 0.000 0.192 H
0.000 0.500 0.192 H
0.000 0.500 0.808 H
0.000 0.000 0.000 Li
0.000 0.000 0.500 Zn
0.500 0.500 0.714 Ni
0.500 0.500 0.286 Ni
```

Summary:
The symmetry is P4/mmm.

Record 3
VASP calculation (PBE-GGA) on LiZnNiH after structural relaxation.

```
LiZnNiH
1.0
-2.411 -0.677 -0.539
0.916 -3.721 0.574
-1.502 2.249 3.894
Zn Li Ni H
1 1 1 1
direct
0.000 0.948 0.897 Zn
0.500 0.253 0.505 Li
0.500 0.553 0.106 Ni
0.000 0.676 0.352 H
```

Summary:
The symmetry is Amm2.

Record 4
VASP calculation (PBE-GGA) on LiZnNi2H after structural relaxation.

```
LiZnNi2H
1.0
-2.321 1.266 2.447
-0.606 -3.356 1.162
2.861 0.358 2.528
Li Ni H Zn
1 2 1 1
direct
0.500 0.500 0.500 Li
0.500 0.000 0.000 Ni
0.000 0.500 0.000 Ni
0.000 0.000 0.000 H
0.000 0.000 0.500 Zn
```

Summary:
The symmetry is P4/mmm. The calculation puts the energy above the lowest structure with this stoichiometry at 165 meV per atom.

Record 5
VASP calculation (PBE-GGA) on LiZr2Ni2H6 after structural relaxation.

```
LiZr2Ni2H6
1.0
-3.000 2.592 -1.932
-2.333 -1.503 -3.427
-5.723 -1.570 1.747
H Li Ni Zr
6 1 2 2
direct
0.273 0.273 0.670 H
0.785 0.273 0.670 H
0.215 0.727 0.330 H
0.273 0.785 0.670 H
0.727 0.215 0.330 H
0.727 0.727 0.330 H
0.000 0.000 0.000 Li
0.622 0.622 0.133 Ni
0.378 0.378 0.867 Ni
0.778 0.778 0.665 Zr
0.222 0.222 0.335 Zr
```

Summary:
The symmetry is R-3m.

Record 6
VASP calculation (PBE-GGA) on Li6NpH12 after structural relaxation.

```
Li6NpH12
1.0
-4.626 3.183 0.686
0.212 -3.920 4.073
4.603 3.275 0.294
H Li Np
12 6 1
direct
0.565 0.851 0.714 H
0.137 0.851 0.286 H
0.851 0.286 0.137 H
0.435 0.149 0.286 H
0.851 0.714 0.565 H
0.149 0.714 0.863 H
0.286 0.435 0.149 H
0.863 0.149 0.714 H
0.714 0.863 0.149 H
0.286 0.137 0.851 H
0.149 0.286 0.435 H
0.714 0.565 0.851 H
0.674 0.500 0.174 Li
0.826 0.326 0.500 Li
0.326 0.500 0.826 Li
0.500 0.826 0.326 Li
0.174 0.674 0.500 Li
0.500 0.174 0.674 Li
0.000 0.000 0.000 Np
```

Summary:
The symmetry is Im-3.

Record 7
VASP calculation (PBE-GGA) on Li2NpHO4 after structural relaxation.

```
Li2NpHO4
1.0
3.466 0.000 0.000
0.000 5.382 -1.398
0.000 0.838 4.860
Np O Li H
1 4 2 1
direct
0.000 0.500 0.500 Np
0.500 0.392 0.768 O
0.000 0.829 0.674 O
0.500 0.608 0.232 O
0.000 0.171 0.326 O
0.500 0.000 0.500 Li
0.000 0.000 0.000 Li
0.500 0.500 0.000 H
```

Summary:
The symmetry is P2/m.

Record 8
VASP calculation (PBE-GGA) on Li2NpHO6 after structural relaxation.

```
Li2NpHO6
1.0
-0.630 3.134 -3.736
-4.587 -1.243 -0.269
1.572 2.129 5.454
O Li H Np
6 2 1 1
direct
0.184 0.132 0.836 O
0.615 0.327 0.653 O
0.385 0.673 0.347 O
0.816 0.296 0.164 O
0.816 0.868 0.164 O
0.184 0.704 0.836 O
0.165 0.261 0.522 Li
0.835 0.739 0.478 Li
0.500 0.000 0.000 H
0.000 0.500 0.000 Np
```

Summary:
The symmetry is C2/m.

Record 9
VASP calculation (PBE-GGA) on LiNpH8Pt2 after structural relaxation.

```
LiNpH8Pt2
1.0
4.739 0.000 0.000
2.369 4.104 0.000
2.369 1.368 5.485
Li H Pt Np
1 8 2 1
direct
0.000 0.000 0.000 Li
0.303 0.900 0.179 H
0.619 0.303 0.179 H
0.100 0.381 0.821 H
0.381 0.697 0.821 H
0.900 0.619 0.179 H
0.826 0.826 0.522 H
0.697 0.100 0.821 H
0.174 0.174 0.478 H
0.726 0.726 0.821 Pt
0.274 0.274 0.179 Pt
0.500 0.500 0.500 Np
```

Summary:
The symmetry is R-3.

Record 10
VASP calculation (PBE-GGA) on Rb2Li3NpH12 after structural relaxation.

```
Rb2Li3NpH12
1.0
-4.275 -1.778 4.386
0.974 -5.981 1.990
2.526 -0.182 5.853
H Li Rb Np
12 3 2 1
direct
0.118 0.648 0.118 H
0.882 0.352 0.882 H
0.217 0.217 0.904 H
0.118 0.118 0.648 H
0.352 0.882 0.882 H
0.882 0.882 0.352 H
0.904 0.217 0.217 H
0.648 0.118 0.118 H
0.783 0.096 0.783 H
0.217 0.904 0.217 H
0.096 0.783 0.783 H
0.783 0.783 0.096 H
0.000 0.000 0.500 Li
0.000 0.500 0.000 Li
0.500 0.000 0.000 Li
0.386 0.386 0.386 Rb
0.614 0.614 0.614 Rb
0.000 0.000 0.000 Np
```

Summary:
The symmetry is R-3m.

Record 11
VASP calculation (PBE-GGA) on LiNp2H12Rh3 after structural relaxation.

```
LiNp2H12Rh3
1.0
5.830 -0.226 -0.161
2.682 5.181 -0.161
2.682 1.561 4.943
H Rh Li Np
12 3 1 2
direct
0.858 0.317 0.317 H
0.142 0.683 0.683 H
0.124 0.124 0.616 H
0.616 0.124 0.124 H
0.124 0.616 0.124 H
0.317 0.858 0.317 H
0.876 0.876 0.384 H
0.384 0.876 0.876 H
0.683 0.142 0.683 H
0.317 0.317 0.858 H
0.876 0.384 0.876 H
0.683 0.683 0.142 H
0.500 0.000 0.000 Rh
0.000 0.500 0.000 Rh
0.000 0.000 0.500 Rh
0.000 0.000 0.000 Li
0.611 0.611 0.611 Np
0.389 0.389 0.389 Np
```

Summary:
The symmetry is R-3m.

Record 12
VASP calculation (PBE-GGA) on LiNpH8Rh4 after structural relaxation.

```
LiNpH8Rh4
1.0
5.639 0.000 0.000
2.820 4.884 0.000
2.820 1.628 4.830
Rh H Li Np
4 8 1 1
direct
0.636 0.636 0.092 Rh
0.500 0.996 0.508 Rh
0.996 0.500 0.508 Rh
0.996 0.996 0.508 Rh
0.759 0.759 0.723 H
0.704 0.264 0.327 H
0.790 0.279 0.652 H
0.225 0.225 0.326 H
0.264 0.704 0.327 H
0.279 0.790 0.652 H
0.279 0.279 0.652 H
0.704 0.704 0.327 H
0.373 0.373 0.882 Li
0.995 0.995 0.016 Np
```

Summary:
The symmetry is R3m.

Record 13
VASP calculation (PBE-GGA) on Li12H5O3 after structural relaxation.

```
Li12H5O3
1.0
9.781 0.000 0.000
-3.260 9.222 0.000
-3.260 -4.611 7.986
H Li O
20 48 12
direct
0.125 0.375 0.250 H
0.625 0.875 0.250 H
0.000 0.500 0.500 H
0.875 0.250 0.625 H
0.000 0.000 0.500 H
0.250 0.375 0.625 H
0.750 0.125 0.875 H
0.500 0.000 0.000 H
0.375 0.250 0.125 H
0.875 0.625 0.750 H
0.625 0.750 0.875 H
0.500 0.000 0.500 H
0.500 0.500 0.500 H
0.500 0.500 0.000 H
0.250 0.875 0.125 H
0.000 0.000 0.000 H
0.750 0.625 0.375 H
0.125 0.750 0.375 H
0.000 0.500 0.000 H
0.375 0.125 0.750 H
0.724 0.586 0.179 Li
0.638 0.045 0.224 Li
0.414 0.276 0.321 Li
0.276 0.414 0.821 Li
0.545 0.321 0.907 Li
0.138 0.724 0.545 Li
0.138 0.414 0.093 Li
0.179 0.093 0.955 Li
0.045 0.407 0.821 Li
0.093 0.179 0.455 Li
0.776 0.321 0.914 Li
0.593 0.638 0.414 Li
0.407 0.045 0.321 Li
0.045 0.638 0.724 Li
0.586 0.862 0.407 Li
0.907 0.086 0.862 Li
0.276 0.862 0.955 Li
0.862 0.586 0.907 Li
0.724 0.138 0.045 Li
0.321 0.545 0.407 Li
0.414 0.138 0.593 Li
0.914 0.821 0.776 Li
0.179 0.086 0.724 Li
0.776 0.455 0.362 Li
0.593 0.955 0.679 Li
0.455 0.679 0.093 Li
0.638 0.593 0.914 Li
0.545 0.224 0.138 Li
0.093 0.914 0.138 Li
0.821 0.914 0.276 Li
0.362 0.407 0.086 Li
0.914 0.093 0.638 Li
0.679 0.224 0.586 Li
0.955 0.362 0.276 Li
0.586 0.724 0.679 Li
0.321 0.776 0.414 Li
0.224 0.545 0.638 Li
0.821 0.907 0.045 Li
0.955 0.593 0.179 Li
0.086 0.907 0.362 Li
0.362 0.955 0.776 Li
0.224 0.679 0.086 Li
0.862 0.276 0.455 Li
0.407 0.362 0.586 Li
0.679 0.455 0.593 Li
0.907 0.821 0.545 Li
0.455 0.776 0.862 Li
0.086 0.179 0.224 Li
0.875 0.125 0.250 O
0.125 0.250 0.875 O
0.750 0.875 0.625 O
0.250 0.625 0.875 O
0.250 0.125 0.375 O
0.750 0.375 0.125 O
0.625 0.250 0.375 O
0.375 0.750 0.625 O
0.125 0.875 0.750 O
0.375 0.625 0.250 O
0.875 0.750 0.125 O
0.625 0.375 0.750 O
```

Summary:
The symmetry is Ia-3d.

Record 14
VASP calculation (PBE-GGA) on Li3H4O4 after structural relaxation.

```
Li3H4O4
1.0
-2.402 0.603 -0.920
-0.057 -2.586 -1.572
-5.519 -0.265 10.730
H O Li
4 4 3
direct
0.726 0.834 0.549 H
0.428 0.769 0.148 H
0.572 0.231 0.852 H
0.274 0.167 0.451 H
0.559 0.949 0.871 O
0.683 0.985 0.639 O
0.441 0.051 0.129 O
0.317 0.015 0.361 O
0.149 0.594 0.706 Li
0.851 0.406 0.294 Li
0.000 0.000 0.000 Li
```

Summary:
The symmetry is P-1.

Record 15
VASP calculation (PBE-GGA) on LiHO2 after structural relaxation.

```
LiHO2
1.0
1.340 1.326 2.842
-1.301 -0.823 3.043
1.775 -1.982 2.134
Li H O
1 1 2
direct
0.500 0.500 0.500 Li
0.000 0.000 0.000 H
0.750 0.750 0.750 O
0.250 0.250 0.250 O
```

Summary:
The symmetry is Fm-3m. The calculation puts the energy above the lowest structure with this stoichiometry at 781 meV per atom.

Record 16
VASP calculation (PBE-GGA) on LiH3O after structural relaxation.

```
LiH3O
1.0
3.162 0.000 0.000
0.000 3.162 0.000
0.000 0.000 3.162
H O Li
3 1 1
direct
0.500 0.000 0.000 H
0.000 0.500 0.000 H
0.000 0.000 0.500 H
0.500 0.500 0.500 O
0.000 0.000 0.000 Li
```

Summary:
The symmetry is Pm-3m. The calculation puts the energy above the lowest structure with this stoichiometry at 1253 meV per atom.

Record 17
VASP calculation (PBE-GGA) on LiH2O2 after structural relaxation.

```
LiH2O2
1.0
-0.094 2.283 -0.854
-0.495 0.402 -2.355
-6.558 1.149 0.312
H O Li
2 2 1
direct
0.246 0.246 0.261 H
0.754 0.754 0.739 H
0.408 0.408 0.777 O
0.592 0.592 0.223 O
0.000 0.000 0.000 Li
```

Summary:
The symmetry is R-3m. The calculation puts the energy above the lowest structure with this stoichiometry at 153 meV per atom.

Record 18
VASP calculation (PBE-GGA) on Li5H4O after structural relaxation.

```
Li5H4O
1.0
-1.118 -3.791 0.427
0.869 -2.793 -4.015
3.570 -2.931 1.827
Li H O
5 4 1
direct
0.092 0.624 0.194 Li
0.501 0.000 0.000 Li
0.286 0.806 0.624 Li
0.910 0.376 0.806 Li
0.716 0.194 0.376 Li
0.194 0.212 0.403 H
0.406 0.403 0.788 H
0.809 0.788 0.597 H
0.596 0.597 0.212 H
0.001 0.000 0.000 O
```

Summary:
The symmetry is I4/m.

Record 19
VASP calculation (PBE-GGA) on LiHO2 after structural relaxation.

```
LiHO2
1.0
4.913 0.281 0.039
0.678 4.874 -0.039
-1.045 1.133 2.985
H O Li
2 4 2
direct
0.191 0.809 0.698 H
0.809 0.191 0.302 H
0.829 0.829 0.000 O
0.171 0.171 0.000 O
0.286 0.714 0.532 O
0.714 0.286 0.468 O
0.312 0.312 0.500 Li
0.688 0.688 0.500 Li
```

Summary:
The symmetry is C2/m. The calculation puts the energy above the lowest structure with this stoichiometry at 0 meV per atom.

Record 20
VASP calculation (PBE-GGA) on LiH2O after structural relaxation.

```
LiH2O
1.0
2.495 0.000 0.000
1.247 2.160 0.000
1.247 0.720 7.563
Li H O
1 2 1
direct
0.000 0.000 0.000 Li
0.847 0.847 0.460 H
0.153 0.153 0.540 H
0.500 0.500 0.500 O
```

Summary:
The symmetry is R-3m. The calculation puts the energy above the lowest structure with this stoichiometry at 798 meV per atom.

The following total DFT energy (no corrections) values (in eV per atom) correspond, in order, to the records above: -3.8538, -3.6870, -3.2827, -3.6890, -4.9114, -3.4832, -7.1526, -6.4665, -4.5146, -3.4384, -5.1626, -5.1651, -3.6135, -4.7975, -3.5945, -2.2308, -4.2179, -3.3834, -4.3752, -3.1730.